No. 1
# PBE Th2Ga4Cu3Ag, optimized geometry
# * crystal system: tetragonal
# * D(E_F): 5.69 states/eV/cell
data_Th2Ga4Cu3Ag
_chemical_formula_sum 'Th2 Ga4 Cu3 Ag1'
_symmetry_space_group_name_H-M 'P -4 m 2'
_symmetry_Int_Tables_number 115
_cell_length_a 4.283
_cell_length_b 4.283
_cell_length_c 10.188
_cell_angle_alpha 90.00
_cell_angle_beta 90.00
_cell_angle_gamma 90.00
loop_
_symmetry_equiv_pos_as_xyz
'x,y,z'
'y,-x,-z'
'-x,-y,z'
'-y,x,-z'
'-x,y,z'
'-y,-x,-z'
'x,-y,z'
'y,x,-z'
loop_
_atom_site_label
_atom_site_type_symbol
_atom_site_fract_x
_atom_site_fract_y
_atom_site_fract_z
Th1 Th 0.000 0.500 0.243
Ga1 Ga 0.000 0.000 0.000
Ga2 Ga 0.000 0.500 0.642
Ga3 Ga 0.500 0.500 0.000
Cu1 Cu 0.000 0.500 0.877
Cu2 Cu 0.500 0.500 0.500
Ag1 Ag 0.000 0.000 0.500

=====

No. 2
# PBE Tl2GaCuAg, optimized geometry
# * crystal system: tetragonal
# * D(E_F): 3.16 states/eV/cell
data_Tl2GaCuAg
_chemical_formula_sum 'Tl2 Ga1 Cu1 Ag1'
_symmetry_space_group_name_H-M 'P 4/m m m'
_symmetry_Int_Tables_number 123
_symmetry_space_group_name_Hall '-P 4 2'
_cell_length_a 5.520
_cell_length_b 5.520
_cell_length_c 4.588
_cell_angle_alpha 90.00
_cell_angle_beta 90.00
_cell_angle_gamma 90.00
loop_
_atom_site_label
_atom_site_type_symbol
_atom_site_fract_x
_atom_site_fract_y
_atom_site_fract_z
Tl1 Tl 0.000 0.500 0.000
Ga1 Ga 0.000 0.000 0.000
Cu1 Cu 0.000 0.000 0.500
Ag1 Ag 0.500 0.500 0.500

=====

No. 3
# PBE TmGa3CuAg, optimized geometry
# * crystal system: orthorhombic
# * D(E_F): 9.61 states/eV/cell
data_TmGa3CuAg
_chemical_formula_sum 'Tm4 Ga12 Cu4 Ag4'
_symmetry_space_group_name_H-M 'C m c m'
_symmetry_Int_Tables_number 63
_symmetry_space_group_name_Hall '-C 2c 2'
_cell_length_a 5.735
_cell_length_b 12.351
_cell_length_c 6.458
_cell_angle_alpha 90.00
_cell_angle_beta 90.00
_cell_angle_gamma 90.00
loop_
_atom_site_label
_atom_site_type_symbol
_atom_site_fract_x
_atom_site_fract_y
_atom_site_fract_z
Tm1 Tm 0.000 0.194 0.250
Ga1 Ga 0.000 0.371 0.750
Ga2 Ga 0.224 0.000 0.000
Cu1 Cu 0.000 0.413 0.250
Ag1 Ag 0.000 0.159 0.750

=====

No. 4
# PBE Tm2Ga4Cu3Ag, optimized geometry
# * crystal system: tetragonal
# * D(E_F): 4.59 states/eV/cell
data_Tm2Ga4Cu3Ag
_chemical_formula_sum 'Tm2 Ga4 Cu3 Ag1'
_symmetry_space_group_name_H-M 'P -4 m 2'
_symmetry_Int_Tables_number 115
_cell_length_a 4.064
_cell_length_b 4.064
_cell_length_c 10.647
_cell_angle_alpha 90.00
_cell_angle_beta 90.00
_cell_angle_gamma 90.00
loop_
_symmetry_equiv_pos_as_xyz
'x,y,z'
'y,-x,-z'
'-x,-y,z'
'-y,x,-z'
'-x,y,z'
'-y,-x,-z'
'x,-y,z'
'y,x,-z'
loop_
_atom_site_label
_atom_site_type_symbol
_atom_site_fract_x
_atom_site_fract_y
_atom_site_fract_z
Tm1 Tm 0.000 0.500 0.240
Ga1 Ga 0.000 0.000 0.000
Ga2 Ga 0.000 0.500 0.647
Ga3 Ga 0.500 0.500 0.000
Cu1 Cu 0.000 0.500 0.867
Cu2 Cu 0.500 0.500 0.500
Ag1 Ag 0.000 0.000 0.500

=====

No. 5
# PBE VGa2CuAg, optimized geometry
# * crystal system: tetragonal
# * D(E_F): 3.62 states/eV/cell
data_VGa2CuAg
_chemical_formula_sum 'V1 Ga2 Cu1 Ag1'
_symmetry_space_group_name_H-M 'P 4/m m m'
_symmetry_Int_Tables_number 123
_symmetry_space_group_name_Hall '-P 4 2'
_cell_length_a 4.796
_cell_length_b 4.796
_cell_length_c 4.971
_cell_angle_alpha 90.00
_cell_angle_beta 90.00
_cell_angle_gamma 90.00
loop_
_atom_site_label
_atom_site_type_symbol
_atom_site_fract_x
_atom_site_fract_y
_atom_site_fract_z
V1 V 0.000 0.000 0.000
Ga1 Ga 0.000 0.500 0.000
Cu1 Cu 0.500 0.500 0.500
Ag1 Ag 0.000 0.000 0.500

=====

No. 6
# PBE YGa3CuAg, optimized geometry
# * crystal system: orthorhombic
# * D(E_F): 10.44 states/eV/cell
data_YGa3CuAg
_chemical_formula_sum 'Y4 Ga12 Cu4 Ag4'
_symmetry_space_group_name_H-M 'C m c m'
_symmetry_Int_Tables_number 63
_symmetry_space_group_name_Hall '-C 2c 2'
_cell_length_a 5.780
_cell_length_b 12.426
_cell_length_c 6.467
_cell_angle_alpha 90.00
_cell_angle_beta 90.00
_cell_angle_gamma 90.00
loop_
_atom_site_label
_atom_site_type_symbol
_atom_site_fract_x
_atom_site_fract_y
_atom_site_fract_z
Y1 Y 0.000 0.197 0.250
Ga1 Ga 0.000 0.370 0.750
Ga2 Ga 0.223 0.000 0.000
Cu1 Cu 0.000 0.418 0.250
Ag1 Ag 0.000 0.158 0.750

=====

No. 7
# PBE Y2Ga4Cu3Ag, optimized geometry
# * crystal system: tetragonal
# * D(E_F): 5.17 states/eV/cell
data_Y2Ga4Cu3Ag
_chemical_formula_sum 'Y2 Ga4 Cu3 Ag1'
_symmetry_space_group_name_H-M 'P -4 m 2'
_symmetry_Int_Tables_number 115
_cell_length_a 4.154
_cell_length_b 4.154
_cell_length_c 10.404
_cell_angle_alpha 90.00
_cell_angle_beta 90.00
_cell_angle_gamma 90.00
loop_
_symmetry_equiv_pos_as_xyz
'x,y,z'
'y,-x,-z'
'-x,-y,z'
'-y,x,-z'
'-x,y,z'
'-y,-x,-z'
'x,-y,z'
'y,x,-z'
loop_
_atom_site_label
_atom_site_type_symbol
_atom_site_fract_x
_atom_site_fract_y
_atom_site_fract_z
Y1 Y 0.000 0.500 0.242
Ga1 Ga 0.000 0.000 0.000
Ga2 Ga 0.000 0.500 0.645
Ga3 Ga 0.500 0.500 0.000
Cu1 Cu 0.000 0.500 0.872
Cu2 Cu 0.500 0.500 0.500
Ag1 Ag 0.000 0.000 0.500

=====

No. 8
# PBE YGaCuAg, optimized geometry
# * crystal system: cubic
# * D(E_F): 11.56 states/eV/cell
data_YGaCuAg
_chemical_formula_sum 'Y4 Ga4 Cu4 Ag4'
_symmetry_space_group_name_H-M 'F -4 3 m'
_symmetry_Int_Tables_number 216
_symmetry_space_group_name_Hall 'F -4 2 3'
_cell_length_a 6.675
_cell_length_b 6.675
_cell_length_c 6.675
_cell_angle_alpha 90.00
_cell_angle_beta 90.00
_cell_angle_gamma 90.00
loop_
_atom_site_label
_atom_site_type_symbol
_atom_site_fract_x
_atom_site_fract_y
_atom_site_fract_z
Y1 Y 0.000 0.000 0.000
Ga1 Ga 0.000 0.000 0.500
Cu1 Cu 0.250 0.250 0.750
Ag1 Ag 0.250 0.250 0.250

=====

Per-record energy relative to the elements, eV per formula unit: -4.0; 2.4; -0.8; -3.8; 4.9; -0.9; -4.1; -1.2
Per-record V, Å³ per cell: 186.9; 139.8; 457.4; 175.8; 114.3; 464.5; 179.6; 297.4